Material: Ba2TlIn3Sn4
Method: DFT, PBE
State: relaxed

The space group is P-4m2 (No. 115) and the conventional cell measures 5.428, 5.428 and 11.119 Å, with angles of 90.00, 90.00 and 90.00 degrees. The distinct sites, in fractional coordinates, are Ba at (0.000, 0.500, 0.245), Tl at (0.000, 0.000, 0.500), In at (0.000, 0.500, 0.883), In at (0.500, 0.500, 0.500), Sn at (0.000, 0.000, 0.000), Sn at (0.000, 0.500, 0.625) and Sn at (0.500, 0.500, 0.000).

The calculation puts the formation enthalpy at 0 K at -0.326 eV per atom.